# 1
The following is a DFT calculation (PBE) of CeTiSb2 after structural relaxation.

polymorph energy (0 for the lowest one) = 0 kJ/mol of formula units
energy relative to the elements, uncorrected = -715 meV per atom
total DFT energy (no corrections) = -49.866 eV for the cell shown

POSCAR file:
```
CeTiSb2
1.0
-3.3888 -0.8511 2.4711
2.4716 -2.3592 2.5769
2.1870 8.9249 6.0731
Sb Ce Ti
4 2 2
Direct
0.0000 0.5000 0.8286 Sb
0.0000 0.0000 0.5000 Sb
0.5000 0.0000 0.1714 Sb
0.5000 0.5000 0.5000 Sb
0.0000 0.5000 0.2724 Ce
0.5000 0.0000 0.7276 Ce
0.5000 0.5000 0.0000 Ti
0.0000 0.0000 0.0000 Ti
```

---

# 2
The following is a DFT calculation (PBE) of Pa3CrN6 after structural relaxation.

energy relative to the elements, uncorrected = -1408 meV per atom
total DFT energy (no corrections) = -204.278 eV for the cell shown

POSCAR file:
```
Pa3CrN6
1.0
-5.0633 -1.1642 1.6186
-0.3647 -5.3037 -4.9557
2.6533 -3.4371 5.8281
N Pa Cr
12 6 2
Direct
0.6782 0.9492 0.0508 N
0.7011 0.6436 0.6720 N
0.1881 0.1136 0.5804 N
0.1881 0.4196 0.8864 N
0.6595 0.2124 0.7876 N
0.6881 0.5804 0.1136 N
0.6881 0.8864 0.4196 N
0.2011 0.3564 0.3280 N
0.2011 0.6720 0.6436 N
0.1782 0.0508 0.9492 N
0.1595 0.7876 0.2124 N
0.7011 0.3280 0.3564 N
0.9648 0.0840 0.3057 Pa
0.9305 0.6070 0.3930 Pa
0.4648 0.9160 0.6943 Pa
0.4305 0.3930 0.6070 Pa
0.9648 0.6943 0.9160 Pa
0.4648 0.3057 0.0840 Pa
0.0091 0.1938 0.8062 Cr
0.5090 0.8062 0.1938 Cr
```